No. 1
CuAgSb (PBE, relaxed); raw formation energy = 192 meV/atom; magnetic moment = 0.000 μB/f.u.; final energy = -3.50 eV/atom; V = 116 Å³/cell; ΔE to the lowest computed polymorph = 0.44 eV per formula unit
1.0
3.1487 0.0000 0.0000
0.0000 3.1487 0.0000
0.0000 0.0000 11.6505
Cu Ag Sb
2 2 2
direct
0.0000 0.0000 0.0000
0.5000 0.5000 0.5000
0.0000 0.0000 0.6376
0.5000 0.5000 0.1376
0.0000 0.0000 0.3422
0.5000 0.5000 0.8422



No. 2
Cu2AgSb2 (PBE, relaxed); raw formation energy = 152 meV/atom; magnetic moment = 0.000 μB/f.u.; final energy = -3.71 eV/atom; V = 191 Å³/cell; ΔE to the lowest computed polymorph = 0.00 eV per formula unit
1.0
7.0344 0.0000 0.0000
0.0000 7.0344 0.0000
0.0000 0.0000 3.8536
Cu Ag Sb
4 2 4
direct
0.1266 0.3734 0.0000
0.3734 0.8734 0.0000
0.6266 0.1266 0.0000
0.8734 0.6266 0.0000
0.0000 0.0000 0.0000
0.5000 0.5000 0.0000
0.1725 0.6725 0.5000
0.3275 0.1725 0.5000
0.6725 0.8275 0.5000
0.8275 0.3275 0.5000



No. 3
CuAgSb2 (PBE, relaxed); raw formation energy = 128 meV/atom; magnetic moment = 0.000 μB/f.u.; final energy = -3.67 eV/atom; V = 88 Å³/cell; ΔE to the lowest computed polymorph = 0.01 eV per formula unit
1.0
3.2558 0.0000 0.0000
0.0000 3.2558 0.0000
0.0000 0.0000 8.3189
Cu Ag Sb
1 1 2
direct
0.0000 0.0000 0.0000
0.5000 0.5000 0.8161
0.0000 0.0000 0.5795
0.5000 0.5000 0.1885



No. 4
CuAgSb2 (PBE, relaxed); raw formation energy = 255 meV/atom; magnetic moment = 0.000 μB/f.u.; final energy = -3.54 eV/atom; V = 171 Å³/cell; ΔE to the lowest computed polymorph = 0.52 eV per formula unit
1.0
6.5588 0.0000 0.0000
0.0000 8.0743 0.0000
0.0000 0.0000 3.2229
Cu Ag Sb
2 2 4
direct
0.0000 0.0000 0.0000
0.5000 0.5000 0.0000
0.0000 0.5000 0.0000
0.5000 0.0000 0.0000
0.2500 0.2500 0.5000
0.2500 0.7500 0.5000
0.7500 0.2500 0.5000
0.7500 0.7500 0.5000



| no. | density of states at the Fermi level (states/eV/f.u.) |
| --- | --- |
| 1 | 0.546 |
| 2 | 1.763 |
| 3 | 1.099 |
| 4 | 1.640 |